## MgAg2As2 (PBE)

Data for an optimized crystal structure of MgAg2As2.

Calculated values
Calculated formation energy: 8.7 kJ per mole of atoms
Total magnetic moment: 0.00 μB/f.u.
Symmetry: I4/mmm

Geometry as POSCAR:
```
MgAg2As2
1.0
-1.9577 1.9577 6.7564
1.9577 -1.9577 6.7564
1.9577 1.9577 -6.7564
Mg Ag As
1 2 2
Direct
0.0000 0.0000 0.0000
0.4016 0.4016 0.0000
0.5984 0.5984 0.0000
0.2500 0.7500 0.5000
0.7500 0.2500 0.5000
```